## TaH3Pd (PBE-GGA)

Data for a relaxed TaH3Pd crystal.

**Magnetic moment**: 0.000 Bohr magnetons per cell
**Uncorrected energy**: -25.76 eV/cell

Geometry as CIF:
```
data_TaH3Pd
_space_group_name_H-M_alt 'P m -3 m'
_space_group_IT_number 221
_space_group_name_Hall '-P 4 2 3'
_cell_length_a 3.484
_cell_length_b 3.484
_cell_length_c 3.484
_cell_angle_alpha 90.00
_cell_angle_beta 90.00
_cell_angle_gamma 90.00
loop_
_atom_site_label
_atom_site_type_symbol
_atom_site_fract_x
_atom_site_fract_y
_atom_site_fract_z
Ta1 Ta 0.000 0.000 0.000
H1 H 0.000 0.500 0.500
Pd1 Pd 0.500 0.500 0.500
```

=====

## TaH2Pd (PBE-GGA)

Data for a relaxed TaH2Pd crystal.

**Magnetic moment**: 0.000 Bohr magnetons per cell
**Offset from the most stable computed form**: 0.084 eV/atom

Geometry as CIF:
```
data_TaH2Pd
_space_group_name_H-M_alt 'I -4 2 d'
_space_group_IT_number 122
_space_group_name_Hall 'I -4 2bw'
_cell_length_a 4.272
_cell_length_b 4.272
_cell_length_c 8.880
_cell_angle_alpha 90.00
_cell_angle_beta 90.00
_cell_angle_gamma 90.00
loop_
_atom_site_label
_atom_site_type_symbol
_atom_site_fract_x
_atom_site_fract_y
_atom_site_fract_z
Ta1 Ta 0.000 0.000 0.000
H1 H 0.248 0.250 0.125
Pd1 Pd 0.000 0.000 0.500
```

=====

## TaTcHPd2 (PBE-GGA)

Data for a relaxed TaTcHPd2 crystal.

**Magnetic moment**: 0.000 Bohr magnetons per cell
**Uncorrected energy**: -36.87 eV/cell

Geometry as CIF:
```
data_TaTcHPd2
_space_group_name_H-M_alt 'P 4/m m m'
_space_group_IT_number 123
_space_group_name_Hall '-P 4 2'
_cell_length_a 3.913
_cell_length_b 3.913
_cell_length_c 4.188
_cell_angle_alpha 90.00
_cell_angle_beta 90.00
_cell_angle_gamma 90.00
loop_
_atom_site_label
_atom_site_type_symbol
_atom_site_fract_x
_atom_site_fract_y
_atom_site_fract_z
Ta1 Ta 0.000 0.000 0.000
Tc1 Tc 0.500 0.500 0.000
H1 H 0.500 0.500 0.500
Pd1 Pd 0.000 0.500 0.500
```

=====

## TaTi2HPd (PBE-GGA)

Data for a relaxed TaTi2HPd crystal.

**Magnetic moment**: 0.000 Bohr magnetons per cell
**Offset from the most stable computed form**: 0.049 eV/atom

Geometry as CIF:
```
data_TaTi2HPd
_space_group_name_H-M_alt 'P 4/m m m'
_space_group_IT_number 123
_space_group_name_Hall '-P 4 2'
_cell_length_a 4.295
_cell_length_b 4.295
_cell_length_c 3.697
_cell_angle_alpha 90.00
_cell_angle_beta 90.00
_cell_angle_gamma 90.00
loop_
_atom_site_label
_atom_site_type_symbol
_atom_site_fract_x
_atom_site_fract_y
_atom_site_fract_z
Ta1 Ta 0.000 0.000 0.000
Ti1 Ti 0.000 0.500 0.500
H1 H 0.500 0.500 0.500
Pd1 Pd 0.500 0.500 0.000
```

=====

## TaTi2HPd (PBE-GGA)

Data for a relaxed TaTi2HPd crystal.

**Magnetic moment**: 0.000 Bohr magnetons per cell
**Offset from the most stable computed form**: 0.000 eV/atom

Geometry as CIF:
```
data_TaTi2HPd
_space_group_name_H-M_alt 'P 4/m m m'
_space_group_IT_number 123
_space_group_name_Hall '-P 4 2'
_cell_length_a 4.112
_cell_length_b 4.112
_cell_length_c 4.042
_cell_angle_alpha 90.00
_cell_angle_beta 90.00
_cell_angle_gamma 90.00
loop_
_atom_site_label
_atom_site_type_symbol
_atom_site_fract_x
_atom_site_fract_y
_atom_site_fract_z
Ta1 Ta 0.000 0.000 0.000
Ti1 Ti 0.000 0.500 0.500
H1 H 0.000 0.000 0.500
Pd1 Pd 0.500 0.500 0.000
```

=====

## Ta2TlHPd (PBE-GGA)

Data for a relaxed Ta2TlHPd crystal.

**Magnetic moment**: 0.000 Bohr magnetons per cell
**Uncorrected energy**: -33.73 eV/cell

Geometry as CIF:
```
data_Ta2TlHPd
_space_group_name_H-M_alt 'P 4/m m m'
_space_group_IT_number 123
_space_group_name_Hall '-P 4 2'
_cell_length_a 4.010
_cell_length_b 4.010
_cell_length_c 4.751
_cell_angle_alpha 90.00
_cell_angle_beta 90.00
_cell_angle_gamma 90.00
loop_
_atom_site_label
_atom_site_type_symbol
_atom_site_fract_x
_atom_site_fract_y
_atom_site_fract_z
Ta1 Ta 0.000 0.500 0.000
Tl1 Tl 0.000 0.000 0.500
H1 H 0.000 0.000 0.000
Pd1 Pd 0.500 0.500 0.500
```